A relaxed CdPb3F8 crystal, computed with PBE.

The calculated volume comes out at 16.8 Å³ per atom. Its uncorrected formation energy is -28.1 eV/f.u.

The structure belongs to space group Pm-3m (No. 221); the cell edges are 5.8624, 5.8624 and 5.8624 Å and the angles 90.00°, 90.00° and 90.00°. The distinct sites, in fractional coordinates, are Cd at (0.0000, 0.0000, 0.0000), Pb at (0.0000, 0.5000, 0.5000) and F at (0.2398, 0.2398, 0.2398).